1.
This record from Alexandria via LeMat-Bulk describes a PBEsol-optimized structure of AlPbW2. The functional is meta-GGA SCAN.

Cell and atoms, written as CIF:
```
data_AlPbW2
_chemical_formula_sum 'Al1 Pb1 W2'
_space_group_name_H-M_alt 'P 4/m m m'
_space_group_IT_number 123
_space_group_name_Hall '-P 4 2'
_cell_length_a 3.378
_cell_length_b 3.378
_cell_length_c 6.330
_cell_angle_alpha 90.00
_cell_angle_beta 90.00
_cell_angle_gamma 90.00
loop_
_atom_site_label
_atom_site_type_symbol
_atom_site_fract_x
_atom_site_fract_y
_atom_site_fract_z
_atom_site_occupancy
Al1 Al 0.000 0.000 0.000 1
Pb1 Pb 0.000 0.000 0.500 1
W1 W 0.500 0.500 0.192 1
```

Results
energy above the most stable polymorph in this dataset = 140 meV/atom
DFT formation energy = 0.733 eV per atom
density of states at the Fermi level = 2.54 states/eV/f.u.
electronic total energy = -54.994 eV per atom



2.
This record from Alexandria via LeMat-Bulk describes a PBEsol-optimized structure of KOs2Rh. The functional is meta-GGA SCAN.

Cell and atoms, written as CIF:
```
data_KOs2Rh
_chemical_formula_sum 'K1 Os2 Rh1'
_space_group_name_H-M_alt 'P 4/m m m'
_space_group_IT_number 123
_space_group_name_Hall '-P 4 2'
_cell_length_a 4.956
_cell_length_b 4.956
_cell_length_c 2.630
_cell_angle_alpha 90.00
_cell_angle_beta 90.00
_cell_angle_gamma 90.00
loop_
_atom_site_label
_atom_site_type_symbol
_atom_site_fract_x
_atom_site_fract_y
_atom_site_fract_z
_atom_site_occupancy
K1 K 0.000 0.000 0.000 1
Os1 Os 0.000 0.500 0.500 1
Rh1 Rh 0.500 0.500 0.000 1
```

Results
energy above the most stable polymorph in this dataset = 1053 meV/atom
DFT formation energy = 1.730 eV per atom
density of states at the Fermi level = 4.20 states/eV/f.u.
electronic total energy = -44.735 eV per atom



3.
This record from Alexandria via LeMat-Bulk describes a PBEsol-optimized structure of CdPd5Se. The functional is meta-GGA SCAN.

Cell and atoms, written as CIF:
```
data_CdPd5Se
_chemical_formula_sum 'Cd1 Pd5 Se1'
_space_group_name_H-M_alt 'P 4/m m m'
_space_group_IT_number 123
_space_group_name_Hall '-P 4 2'
_cell_length_a 3.990
_cell_length_b 3.990
_cell_length_c 6.991
_cell_angle_alpha 90.00
_cell_angle_beta 90.00
_cell_angle_gamma 90.00
loop_
_atom_site_label
_atom_site_type_symbol
_atom_site_fract_x
_atom_site_fract_y
_atom_site_fract_z
_atom_site_occupancy
Cd1 Cd 0.000 0.000 0.000 1
Pd1 Pd 0.000 0.500 0.285 1
Pd2 Pd 0.500 0.500 0.000 1
Se1 Se 0.500 0.500 0.500 1
```

Results
density of states at the Fermi level = 1.89 states/eV/f.u.
uncorrected formation energy = -2.221 eV/f.u.
electronic total energy = -30.941 eV per atom



4.
This record from Alexandria via LeMat-Bulk describes a PBEsol-optimized structure of MgO. The functional is meta-GGA SCAN.

Cell and atoms, written as CIF:
```
data_MgO
_chemical_formula_sum 'Mg4 O4'
_space_group_name_H-M_alt 'F m -3 m'
_space_group_IT_number 225
_space_group_name_Hall '-F 4 2 3'
_cell_length_a 4.218
_cell_length_b 4.218
_cell_length_c 4.218
_cell_angle_alpha 90.00
_cell_angle_beta 90.00
_cell_angle_gamma 90.00
loop_
_atom_site_label
_atom_site_type_symbol
_atom_site_fract_x
_atom_site_fract_y
_atom_site_fract_z
_atom_site_occupancy
Mg1 Mg 0.000 0.000 0.000 1
O1 O 0.000 0.000 0.500 1
```

Results
density of states at the Fermi level = 0.00 states/eV/f.u.
uncorrected formation energy = -6.030 eV/f.u.
electronic total energy = -8.617 eV per atom



5.
This record from Alexandria via LeMat-Bulk describes a PBEsol-optimized structure of TiRuO2. The functional is meta-GGA SCAN.

Cell and atoms, written as CIF:
```
data_TiRuO2
_chemical_formula_sum 'Ti4 Ru4 O8'
_space_group_name_H-M_alt 'I -4 2 d'
_space_group_IT_number 122
_space_group_name_Hall 'I -4 2bw'
_cell_length_a 3.859
_cell_length_b 3.859
_cell_length_c 11.894
_cell_angle_alpha 90.00
_cell_angle_beta 90.00
_cell_angle_gamma 90.00
loop_
_atom_site_label
_atom_site_type_symbol
_atom_site_fract_x
_atom_site_fract_y
_atom_site_fract_z
_atom_site_occupancy
Ti1 Ti 0.000 0.000 0.000 1
Ru1 Ru 0.000 0.000 0.500 1
O1 O 0.237 0.250 0.125 1
```

Results
density of states at the Fermi level = 2.07 states/eV/f.u.
uncorrected formation energy = -5.942 eV/f.u.
electronic total energy = -17.315 eV per atom



6.
This record from Alexandria via LeMat-Bulk describes a PBEsol-optimized structure of InTcW2. The functional is meta-GGA SCAN.

Cell and atoms, written as CIF:
```
data_InTcW2
_chemical_formula_sum 'In1 Tc1 W2'
_space_group_name_H-M_alt 'P 1 m 1'
_space_group_IT_number 6
_cell_length_a 2.790
_cell_length_b 4.302
_cell_length_c 5.558
_cell_angle_alpha 90.00
_cell_angle_beta 103.10
_cell_angle_gamma 90.00
loop_
_space_group_symop_operation_xyz
'x,y,z'
'x,-y,z'
loop_
_atom_site_label
_atom_site_type_symbol
_atom_site_fract_x
_atom_site_fract_y
_atom_site_fract_z
_atom_site_occupancy
In1 In 0.000 0.000 0.000 1
Tc1 Tc 0.538 0.500 0.259 1
W1 W 0.413 0.500 0.734 1
W2 W 0.969 0.000 0.494 1
```

Results
energy above the most stable polymorph in this dataset = 22 meV/atom
DFT formation energy = 0.397 eV per atom
density of states at the Fermi level = 3.13 states/eV/f.u.
electronic total energy = -51.559 eV per atom